Entry one
DFT (GGA-PBE) results for a relaxed structure of CuP2Os.

The structure in extended XYZ format:
```
4
Lattice="-1.428 2.975 -3.463 1.095 -1.369 -4.451 -2.059 -2.059 3.795" Properties=species:S:1:pos:R:3 pbc="T T T"
Cu -0.166 0.803 -3.957
Os -1.826 0.860 -1.812
P 0.000 0.000 0.000
P -0.565 -1.312 -2.306
```

***

Entry two
DFT (GGA-PBE) results for a relaxed structure of CuP2Os.

The structure in extended XYZ format:
```
4
Lattice="-0.913 1.650 2.489 -2.481 -1.868 0.329 3.502 -3.960 3.910" Properties=species:S:1:pos:R:3 pbc="T T T"
Cu 1.706 -1.930 1.905
Os 0.896 -3.041 4.304
P 3.167 -3.581 3.536
P -0.409 -1.565 2.847
```

***

Ordering by calculated energy gives the sequence entry two, entry one, with the first entry being the most stable.

***

Entry one
DFT (GGA-PBE) results for a relaxed structure of CuP2Os.

The structure in extended XYZ format:
```
4
Lattice="-2.464 -3.407 -0.498 1.708 -3.697 -1.159 0.217 -3.193 2.772" Properties=species:S:1:pos:R:3 pbc="T T T"
Cu -0.270 -5.149 0.557
Os -0.404 -7.723 0.836
P 0.000 0.000 0.000
P -0.135 -2.574 0.279
```

***

Entry two
DFT (GGA-PBE) results for a relaxed structure of CuP2Os.

The structure in extended XYZ format:
```
4
Lattice="-0.367 0.158 2.874 -3.584 -0.932 -0.406 1.213 -4.847 0.421" Properties=species:S:1:pos:R:3 pbc="T T T"
Cu 0.534 -2.134 0.185
Os -1.010 -4.248 1.569
P 1.144 -4.572 0.397
P -1.588 -1.938 1.369
```

***

Ordering by calculated energy gives the sequence entry two, entry one, with the first entry being the most stable.

***

Entry one
DFT (GGA-PBE) results for a relaxed structure of CuP2Os.

The structure in extended XYZ format:
```
4
Lattice="-0.939 -2.611 -1.181 2.508 0.898 -3.977 3.023 -1.769 1.507" Properties=species:S:1:pos:R:3 pbc="T T T"
Cu 1.042 -2.190 0.163
Os 2.765 -0.436 -1.235
P 0.000 0.000 0.000
P 0.784 -0.857 -2.579
```

***

Entry two
DFT (GGA-PBE) results for a relaxed structure of CuP2Os.

The structure in extended XYZ format:
```
4
Lattice="-0.147 -2.731 -0.160 1.826 1.071 1.738 -6.453 -0.052 6.813" Properties=species:S:1:pos:R:3 pbc="T T T"
Cu -3.257 -0.026 3.439
Os -3.980 -0.869 5.878
P -6.098 -0.049 6.438
P -1.118 -0.845 2.856
```

***

Entry three
DFT (GGA-PBE) results for a relaxed structure of CuP2Os.

The structure in extended XYZ format:
```
4
Lattice="4.693 0.000 0.000 0.000 3.033 -0.004 0.000 0.973 4.047" Properties=species:S:1:pos:R:3 pbc="T T T"
Cu 0.000 1.642 2.004
Os 2.346 3.790 3.278
P 0.000 3.312 3.846
P 2.346 1.270 0.979
```

***

Entry four
DFT (GGA-PBE) results for a relaxed structure of CuP2Os.

The structure in extended XYZ format:
```
4
Lattice="6.293 0.011 -0.007 4.683 4.204 0.007 -5.325 -2.532 2.199" Properties=species:S:1:pos:R:3 pbc="T T T"
Cu 6.084 2.336 0.000
Os 3.630 -0.053 1.096
P 10.446 4.011 0.000
P 1.957 1.710 1.103
```

***

Ordering by calculated energy gives the sequence entry three, entry four, entry two, entry one, with the first entry being the most stable.

***

Entry one
DFT (GGA-PBE) results for a relaxed structure of CuP2Os.

The structure in extended XYZ format:
```
4
Lattice="2.909 0.000 0.000 0.000 2.909 0.000 0.000 0.000 6.419" Properties=species:S:1:pos:R:3 pbc="T T T"
Cu 1.455 1.455 1.605
Os 1.455 1.455 4.815
P 0.000 0.000 6.329
P 0.000 0.000 3.300
```

***

Entry two
DFT (GGA-PBE) results for a relaxed structure of CuP2Os.

The structure in extended XYZ format:
```
4
Lattice="-3.172 2.470 0.406 -2.785 0.735 2.833 2.352 3.655 2.238" Properties=species:S:1:pos:R:3 pbc="T T T"
Cu -2.704 5.145 4.107
Os -0.901 1.715 1.369
P -5.803 3.188 3.202
P -1.957 3.446 2.775
```

***

Ordering by calculated energy gives the sequence entry two, entry one, with the first entry being the most stable.

***

Entry one
DFT (GGA-PBE) results for a relaxed structure of CuP2Os.

The structure in extended XYZ format:
```
4
Lattice="4.064 -0.004 -0.003 2.939 2.807 -0.003 0.078 0.031 5.294" Properties=species:S:1:pos:R:3 pbc="T T T"
Cu 3.174 1.271 3.770
Os 2.143 0.858 1.103
P 0.167 0.067 0.251
P 5.137 2.057 2.809
```

***

Entry two
DFT (GGA-PBE) results for a relaxed structure of CuP2Os.

The structure in extended XYZ format:
```
4
Lattice="-4.049 -0.495 0.988 -2.947 2.135 -2.091 -2.573 -2.010 -2.637" Properties=species:S:1:pos:R:3 pbc="T T T"
P -2.392 -0.093 -0.935
P -7.177 -0.278 -2.805
Os -4.784 -0.185 -1.870
Cu 0.000 0.000 0.000
```

***

Entry three
DFT (GGA-PBE) results for a relaxed structure of CuP2Os.

The structure in extended XYZ format:
```
4
Lattice="7.417 0.000 0.000 6.828 2.896 0.000 6.828 1.388 2.542" Properties=species:S:1:pos:R:3 pbc="T T T"
Cu 5.268 1.071 0.635
Os 15.804 3.213 1.906
P 0.030 0.006 0.004
P 10.506 2.136 1.267
```

***

Entry four
DFT (GGA-PBE) results for a relaxed structure of CuP2Os.

The structure in extended XYZ format:
```
4
Lattice="-2.844 -0.129 -0.418 1.138 -0.074 2.641 -0.420 7.979 0.403" Properties=species:S:1:pos:R:3 pbc="T T T"
Cu -0.958 1.894 1.213
Os -1.167 5.883 1.414
P -0.419 7.958 0.402
P -0.211 4.010 0.203
```

***

Ordering by calculated energy gives the sequence entry one, entry three, entry two, entry four, with the first entry being the most stable.

***

Entry one
DFT (GGA-PBE) results for a relaxed structure of CuPOs3.

The structure in extended XYZ format:
```
5
Lattice="-2.996 -3.150 -0.902 1.514 -0.246 -4.166 2.906 -3.119 1.240" Properties=species:S:1:pos:R:3 pbc="T T T"
P 0.712 -3.258 -1.914
Os 0.757 -0.123 -2.083
Os 1.453 -1.560 0.620
Os -1.498 -1.575 -0.451
Cu 0.000 0.000 0.000
```

***

Entry two
DFT (GGA-PBE) results for a relaxed structure of CuPOs3.

The structure in extended XYZ format:
```
5
Lattice="-2.737 -3.217 0.986 0.736 -1.813 -3.872 3.284 -2.276 1.689" Properties=species:S:1:pos:R:3 pbc="T T T"
P 0.000 0.000 0.000
Os 0.368 -0.906 -1.936
Os 1.642 -1.138 0.845
Os -1.369 -1.609 0.493
Cu 0.641 -3.653 -0.598
```

***

Ordering by calculated energy gives the sequence entry two, entry one, with the first entry being the most stable.

***

Entry one
DFT (GGA-PBE) results for a relaxed structure of Cu3POs.

The structure in extended XYZ format:
```
5
Lattice="4.223 0.000 0.000 0.000 4.223 0.000 0.000 0.000 4.223" Properties=species:S:1:pos:R:3 pbc="T T T"
P 0.000 0.000 0.000
Os 2.111 2.111 2.111
Cu 0.000 2.111 0.000
Cu 0.000 0.000 2.111
Cu 2.111 0.000 0.000
```

***

Entry two
DFT (GGA-PBE) results for a relaxed structure of Cu3POs.

The structure in extended XYZ format:
```
5
Lattice="-0.146 -2.596 3.807 4.070 1.713 1.324 -2.160 3.403 2.237" Properties=species:S:1:pos:R:3 pbc="T T T"
P 0.882 1.260 3.684
Os 0.000 0.000 0.000
Cu 2.035 0.857 0.662
Cu -1.080 1.701 1.119
Cu -0.073 -1.298 1.903
```

***

Ordering by calculated energy gives the sequence entry one, entry two, with the first entry being the most stable.

***

Entry one
DFT (GGA-PBE) results for a relaxed structure of CuPOs.

The structure in extended XYZ format:
```
3
Lattice="2.855 0.000 0.000 -1.428 2.473 0.000 0.000 0.000 5.756" Properties=species:S:1:pos:R:3 pbc="T T T"
Cu 0.000 0.000 5.655
Os 1.428 0.824 2.080
P 0.000 1.648 3.778
```

***

Entry two
DFT (GGA-PBE) results for a relaxed structure of CuPOs.

The structure in extended XYZ format:
```
3
Lattice="6.598 0.002 -0.001 5.753 2.634 0.012 0.845 -1.072 2.404" Properties=species:S:1:pos:R:3 pbc="T T T"
Cu 0.900 -1.054 2.392
Os 4.557 0.125 1.631
P 8.584 1.422 0.794
```

***

Ordering by calculated energy gives the sequence entry one, entry two, with the first entry being the most stable.

***

Entry one
DFT (GGA-PBE) results for a relaxed structure of Cu2P2Os.

The structure in extended XYZ format:
```
5
Lattice="-1.668 1.668 6.239 1.668 -1.668 6.239 1.668 1.668 -6.239" Properties=species:S:1:pos:R:3 pbc="T T T"
Cu 0.000 0.000 7.477
Cu 0.000 0.000 5.001
P 1.668 0.000 3.120
P 0.000 1.668 3.120
Os 0.000 0.000 0.000
```

***

Entry two
DFT (GGA-PBE) results for a relaxed structure of Cu2P2Os.

The structure in extended XYZ format:
```
10
Lattice="5.929 0.000 0.000 0.000 5.929 0.000 0.000 0.000 4.107" Properties=species:S:1:pos:R:3 pbc="T T T"
P 2.196 5.160 0.000
P 5.160 3.733 0.000
P 3.733 0.769 0.000
P 0.769 2.196 0.000
Os 0.000 0.000 0.000
Os 2.964 2.964 0.000
Cu 1.489 4.453 2.054
Cu 4.453 4.440 2.054
Cu 4.440 1.476 2.054
Cu 1.476 1.489 2.054
```

***

Ordering by calculated energy gives the sequence entry two, entry one, with the first entry being the most stable.

***

Entry one
DFT (GGA-PBE) results for a relaxed structure of CuP2OsS.

The structure in extended XYZ format:
```
5
Lattice="4.333 0.000 0.000 0.000 4.333 0.000 0.000 0.000 4.369" Properties=species:S:1:pos:R:3 pbc="T T T"
P 0.000 2.167 0.000
P 2.167 0.000 0.000
S 0.000 0.000 2.184
Os 2.167 2.167 2.184
Cu 0.000 0.000 0.000
```

***

Entry two
DFT (GGA-PBE) results for a relaxed structure of CuP2OsS.

The structure in extended XYZ format:
```
5
Lattice="4.413 0.000 0.000 0.000 5.373 0.000 0.000 0.000 4.413" Properties=species:S:1:pos:R:3 pbc="T T T"
P 0.000 0.000 2.206
P 2.206 0.000 0.000
S 0.000 2.687 0.000
Os 0.000 0.000 0.000
Cu 2.206 2.687 2.206
```

***

Ordering by calculated energy gives the sequence entry two, entry one, with the first entry being the most stable.

***

Entry one
DFT (GGA-PBE) results for a relaxed structure of CuOsPd2.

The structure in extended XYZ format:
```
8
Lattice="-0.744 3.731 5.781 5.250 -3.451 2.903 3.950 1.933 3.403" Properties=species:S:1:pos:R:3 pbc="T T T"
Os 0.000 0.000 0.000
Os 2.729 2.902 6.763
Cu 2.253 0.140 4.342
Cu 5.726 -0.689 5.324
Pd 1.184 2.356 4.784
Pd 4.170 -1.179 3.430
Pd 4.691 1.529 5.830
Pd 6.866 1.720 10.129
```

***

Entry two
DFT (GGA-PBE) results for a relaxed structure of CuOsPd2.

The structure in extended XYZ format:
```
4
Lattice="0.000 3.087 3.087 3.087 0.000 3.087 3.087 3.087 0.000" Properties=species:S:1:pos:R:3 pbc="T T T"
Os 3.087 3.087 3.087
Cu 0.000 0.000 0.000
Pd 1.543 1.543 1.543
Pd 4.630 4.630 4.630
```

***

Ordering by calculated energy gives the sequence entry two, entry one, with the first entry being the most stable.

***

Entry one
DFT (GGA-PBE) results for a relaxed structure of Cu2OsPd.

The structure in extended XYZ format:
```
8
Lattice="-1.614 5.930 2.822 1.617 -2.457 6.089 2.448 2.554 4.136" Properties=species:S:1:pos:R:3 pbc="T T T"
Os 0.000 0.000 0.000
Os 0.418 5.110 5.707
Cu -0.204 4.073 3.575
Cu 1.430 -0.191 5.176
Cu 1.827 3.232 6.408
Cu 1.848 4.940 10.935
Pd 0.002 1.736 4.456
Pd 2.033 0.917 7.340
```

***

Entry two
DFT (GGA-PBE) results for a relaxed structure of Cu2OsPd.

The structure in extended XYZ format:
```
4
Lattice="-0.559 -0.821 4.127 -3.812 -1.205 1.426 -0.613 -3.992 1.305" Properties=species:S:1:pos:R:3 pbc="T T T"
Os -2.492 -3.009 3.429
Cu -1.246 -1.504 1.715
Cu -3.738 -4.513 5.144
Pd 0.000 0.000 0.000
```

***

Ordering by calculated energy gives the sequence entry two, entry one, with the first entry being the most stable.